(1)
This record from the Alexandria database describes a relaxed structure of PrB4Pd12. The functional is PBE.

Geometry as CIF:
```
data_PrB4Pd12
_chemical_formula_sum 'Pr2 B8 Pd24'
_space_group_name_H-M_alt 'I m -3'
_space_group_IT_number 204
_space_group_name_Hall '-I 2 2 3'
_cell_length_a 7.963
_cell_length_b 7.963
_cell_length_c 7.963
_cell_angle_alpha 90.00
_cell_angle_beta 90.00
_cell_angle_gamma 90.00
loop_
_atom_site_label
_atom_site_type_symbol
_atom_site_fract_x
_atom_site_fract_y
_atom_site_fract_z
Pr1 Pr 0.000 0.000 0.000
B1 B 0.250 0.250 0.250
Pd1 Pd 0.000 0.184 0.324
```

Summary:
formation enthalpy at 0 K	-319	meV per atom
energy	-5.84	eV/atom

(2)
This record from the Alexandria database describes a relaxed structure of Pr3B2PdPt9. The functional is PBE.

Geometry as CIF:
```
data_Pr3B2PdPt9
_chemical_formula_sum 'Pr3 B2 Pd1 Pt9'
_space_group_name_H-M_alt 'P -3 m 1'
_space_group_IT_number 164
_space_group_name_Hall '-P 3 2"'
_cell_length_a 5.7968
_cell_length_b 5.7968
_cell_length_c 9.5521
_cell_angle_alpha 90.00
_cell_angle_beta 90.00
_cell_angle_gamma 120.00
loop_
_atom_site_label
_atom_site_type_symbol
_atom_site_fract_x
_atom_site_fract_y
_atom_site_fract_z
Pr1 Pr 0.0000 0.0000 0.0000
Pr2 Pr 0.3333 0.6667 0.6016
B1 B 0.3333 0.6667 0.1468
Pd1 Pd 0.0000 0.0000 0.5000
Pt1 Pt 0.0000 0.5000 0.0000
Pt2 Pt 0.1641 0.3282 0.2774
```

Summary:
formation enthalpy at 0 K	-740	meV per atom
energy	-6.56	eV/atom

(3)
This record from the Alexandria database describes a relaxed structure of Pr2BPdPt6. The functional is PBE.

Geometry as CIF:
```
data_Pr2BPdPt6
_chemical_formula_sum 'Pr4 B2 Pd2 Pt12'
_space_group_name_H-M_alt 'C 1 2/m 1'
_space_group_IT_number 12
_cell_length_a 9.769
_cell_length_b 5.651
_cell_length_c 7.598
_cell_angle_alpha 90.00
_cell_angle_beta 115.22
_cell_angle_gamma 90.00
loop_
_space_group_symop_operation_xyz
'x,y,z'
'-x,-y,-z'
'-x,y,-z'
'x,-y,z'
'x+1/2,y+1/2,z'
'-x+1/2,-y+1/2,-z'
'-x+1/2,y+1/2,-z'
'x+1/2,-y+1/2,z'
loop_
_atom_site_label
_atom_site_type_symbol
_atom_site_fract_x
_atom_site_fract_y
_atom_site_fract_z
Pr1 Pr 0.211 0.000 0.132
B1 B 0.000 0.000 0.500
Pd1 Pd 0.000 0.500 0.000
Pt1 Pt 0.024 0.259 0.317
Pt2 Pt 0.234 0.000 0.683
```

Summary:
formation enthalpy at 0 K	-757	meV per atom
energy	-6.52	eV/atom